ScZnCrO4, optimized geometry, DFT PBE+U; calculated density = 4.65 g/cm3; space-group type = Imma (74); total DFT energy (no corrections) = -7.377 eV/atom
1.0
-3.0361 3.0904 4.3093
3.0361 -3.0904 4.3093
3.0361 3.0904 -4.3093
Sc Zn Cr O
2 2 2 8
Direct
0.0000 0.0000 0.0000 Sc
0.5000 0.0000 0.5000 Sc
0.3715 0.6215 0.7500 Zn
0.6285 0.3785 0.2500 Zn
0.0000 0.0000 0.5000 Cr
0.0000 0.5000 0.0000 Cr
0.2196 0.2456 0.9740 O
0.2284 0.7544 0.4740 O
0.2361 0.2196 0.4835 O
0.2361 0.7527 0.0165 O
0.7639 0.2473 0.9835 O
0.7639 0.7804 0.5165 O
0.7716 0.2456 0.5260 O
0.7804 0.7544 0.0260 O